1.
## HoErTh2Bi4 (PBE-GGA)

Data for a relaxed structure of HoErTh2Bi4.

a b c (Å): 4.5385 7.8548 7.8070
angles (deg): 109.68 90.00 90.00
Sites, in units of the cell vectors:
Th1 0.5000 0.0000 0.5000
Th2 0.0000 0.5000 0.5000
Ho1 0.0000 0.0000 0.0000
Bi1 0.0000 0.7456 0.2383
Bi2 0.0000 0.2544 0.7617
Bi3 0.5000 0.2466 0.2385
Bi4 0.5000 0.7534 0.7615
Er1 0.5000 0.5000 0.0000

Results
final energy = -5.628 eV per atom
formation enthalpy at 0 K = -66.6 kJ/mol of atoms
magnetic moment = 0.00 μB per cell
SG = No. 10

2.
## HoEr2TmBi4 (PBE-GGA)

Data for a relaxed structure of HoEr2TmBi4.

a b c (Å): 4.4463 7.6958 7.6948
angles (deg): 109.46 90.00 90.00
Sites, in units of the cell vectors:
Tm1 0.5000 0.5000 0.0000
Bi1 0.0000 0.2511 0.7504
Bi2 0.5000 0.7489 0.7497
Bi3 0.0000 0.7489 0.2496
Bi4 0.5000 0.2511 0.2503
Er1 0.0000 0.5000 0.5000
Er2 0.5000 0.0000 0.5000
Ho1 0.0000 0.0000 0.0000

Results
final energy = -5.023 eV per atom
formation enthalpy at 0 K = -78.2 kJ/mol of atoms
magnetic moment = 0.00 μB per cell
SG = No. 10

3.
## Ho2Er3TmBi6 (PBE-GGA)

Data for a relaxed structure of Ho2Er3TmBi6.

a b c (Å): 4.4441 8.8915 9.9369
angles (deg): 102.86 102.92 90.00
Sites, in units of the cell vectors:
Bi1 0.3336 0.4163 0.6672
Bi2 0.0004 0.7510 0.0007
Bi3 0.9996 0.2490 0.9993
Bi4 0.6664 0.5837 0.3328
Bi5 0.6663 0.0822 0.3325
Bi6 0.3337 0.9178 0.6675
Ho1 0.8334 0.6669 0.6668
Ho2 0.1666 0.3331 0.3332
Er1 0.1670 0.8332 0.3339
Er2 0.5000 0.5000 0.0000
Er3 0.8330 0.1668 0.6661
Tm1 0.5000 0.0000 0.0000

Results
final energy = -5.032 eV per atom
formation enthalpy at 0 K = -78.7 kJ/mol of atoms
magnetic moment = 0.00 μB per cell
SG = No. 12

4.
## Ho3Er2TmBi6 (PBE-GGA)

Data for a relaxed structure of Ho3Er2TmBi6.

a b c (Å): 4.4462 8.8963 9.9430
angles (deg): 102.87 102.92 90.00
Sites, in units of the cell vectors:
Er1 0.1666 0.3334 0.3331
Er2 0.8334 0.6666 0.6669
Bi1 0.3331 0.4171 0.6662
Bi2 0.0001 0.2486 0.0002
Bi3 0.6661 0.0838 0.3322
Bi4 0.3339 0.9162 0.6678
Bi5 0.9999 0.7514 0.9998
Bi6 0.6669 0.5829 0.3338
Tm1 0.5000 0.0000 0.0000
Ho1 0.5000 0.5000 0.0000
Ho2 0.1669 0.8335 0.3337
Ho3 0.8331 0.1665 0.6663

Results
final energy = -5.038 eV per atom
formation enthalpy at 0 K = -79.1 kJ/mol of atoms
magnetic moment = 0.00 μB per cell
SG = No. 12

5.
## Y2HoEr3Bi6 (PBE-GGA)

Data for a relaxed structure of Y2HoEr3Bi6.

a b c (Å): 4.4602 8.9243 9.9735
angles (deg): 102.86 102.92 90.00
Sites, in units of the cell vectors:
Bi1 0.6668 0.0812 0.3335
Bi2 0.6660 0.5847 0.3321
Bi3 0.3332 0.9188 0.6665
Bi4 0.0008 0.7497 0.0016
Bi5 0.9992 0.2503 0.9984
Bi6 0.3340 0.4153 0.6679
Er1 0.8330 0.1668 0.6660
Er2 0.1670 0.8332 0.3340
Er3 0.5000 0.5000 0.0000
Y1 0.8334 0.6670 0.6669
Y2 0.1666 0.3330 0.3331
Ho1 0.5000 0.0000 0.0000

Results
final energy = -5.385 eV per atom
formation enthalpy at 0 K = -81.5 kJ/mol of atoms
magnetic moment = 0.00 μB per cell
SG = No. 12

6.
## YHo3Er2Bi6 (PBE-GGA)

Data for a relaxed structure of YHo3Er2Bi6.

a b c (Å): 4.4595 8.9222 9.9716
angles (deg): 102.85 102.92 90.00
Sites, in units of the cell vectors:
Ho1 0.5000 0.5000 0.0000
Ho2 0.1662 0.8329 0.3323
Ho3 0.8338 0.1671 0.6677
Y1 0.5000 0.0000 0.0000
Bi1 0.9996 0.7485 0.9991
Bi2 0.3331 0.4175 0.6662
Bi3 0.0004 0.2515 0.0009
Bi4 0.6673 0.0843 0.3346
Bi5 0.3327 0.9157 0.6654
Bi6 0.6669 0.5825 0.3338
Er1 0.1667 0.3332 0.3335
Er2 0.8333 0.6668 0.6665

Results
final energy = -5.223 eV per atom
formation enthalpy at 0 K = -80.9 kJ/mol of atoms
magnetic moment = 0.00 μB per cell
SG = No. 12

7.
## Er3BiI7 (PBE-GGA)

Data for a relaxed structure of Er3BiI7.

a b c (Å): 7.5723 8.5779 8.5779
angles (deg): 120.00 90.00 90.00
Sites, in units of the cell vectors:
I1 0.5588 0.8312 0.1688
I2 0.0221 0.1682 0.8318
I3 0.0221 0.6636 0.8318
I4 0.0200 0.6667 0.3333
I5 0.5588 0.8312 0.6624
I6 0.0221 0.1682 0.3364
I7 0.5588 0.3376 0.1688
Bi1 0.5059 0.3333 0.6667
Er1 0.7822 0.4925 0.5075
Er2 0.7822 0.4925 0.9850
Er3 0.7822 0.0150 0.5075

Results
raw formation energy = -1130 meV per atom
final energy = -3.714 eV per atom
magnetic moment = 1.04 μB per cell
SG = No. 156

8.
## Er8InBi2 (PBE-GGA)

Data for a relaxed structure of Er8InBi2.

a b c (Å): 5.9367 8.2139 8.2139
angles (deg): 118.04 98.99 98.99
Sites, in units of the cell vectors:
Er1 0.8443 0.9071 0.6814
Er2 0.2960 0.6043 0.6043
Er3 0.1557 0.3186 0.0929
Er4 0.5000 0.7691 0.2309
Er5 0.8443 0.6814 0.9071
Er6 0.1557 0.0929 0.3186
Er7 0.5000 0.2309 0.7691
Er8 0.7040 0.3957 0.3957
In1 0.5000 0.0000 0.0000
Bi1 0.0000 0.6962 0.3038
Bi2 0.0000 0.3038 0.6962

Results
final energy = -4.487 eV per atom
formation enthalpy at 0 K = -20.7 kJ/mol of atoms
magnetic moment = 0.00 μB per cell
SG = No. 12

Please write out number 4 again, unchanged.
## Ho3Er2TmBi6 (PBE-GGA)

Data for a relaxed structure of Ho3Er2TmBi6.

a b c (Å): 4.4462 8.8963 9.9430
angles (deg): 102.87 102.92 90.00
Sites, in units of the cell vectors:
Er1 0.1666 0.3334 0.3331
Er2 0.8334 0.6666 0.6669
Bi1 0.3331 0.4171 0.6662
Bi2 0.0001 0.2486 0.0002
Bi3 0.6661 0.0838 0.3322
Bi4 0.3339 0.9162 0.6678
Bi5 0.9999 0.7514 0.9998
Bi6 0.6669 0.5829 0.3338
Tm1 0.5000 0.0000 0.0000
Ho1 0.5000 0.5000 0.0000
Ho2 0.1669 0.8335 0.3337
Ho3 0.8331 0.1665 0.6663

Results
final energy = -5.038 eV per atom
formation enthalpy at 0 K = -79.1 kJ/mol of atoms
magnetic moment = 0.00 μB per cell
SG = No. 12